[1]
## NiAsAu4 (PBE)

Data for a geometry-optimized NiAsAu4 structure.

Structure (CIF):
```
data_NiAsAu4
_chemical_formula_sum 'Ni1 As1 Au4'
_cell_length_a 5.459
_cell_length_b 5.459
_cell_length_c 5.459
_cell_angle_alpha 60.00
_cell_angle_beta 60.00
_cell_angle_gamma 60.00
_symmetry_space_group_name_H-M 'P 1'
_symmetry_Int_Tables_number 1
_symmetry_space_group_name_Hall 'P 1'
loop_
_atom_site_label
_atom_site_fract_x
_atom_site_fract_y
_atom_site_fract_z
Ni1 0.000 0.000 0.000
As1 0.750 0.750 0.750
Au1 0.375 0.375 0.375
Au2 0.375 0.375 0.876
Au3 0.375 0.876 0.375
Au4 0.876 0.375 0.375
```

Values from the calculation:
volume	115.0	Å³/f.u.
energy of formation from the pure elements	0.47	eV/atom
calculated total energy	-20.71	eV per formula unit
magnetic moment	0.30	Bohr magnetons per cell


[2]
## Ni3AsAu (PBE)

Data for a geometry-optimized Ni3AsAu structure.

Structure (CIF):
```
data_Ni3AsAu
_chemical_formula_sum 'Ni3 As1 Au1'
_cell_length_a 4.317
_cell_length_b 4.317
_cell_length_c 4.317
_cell_angle_alpha 90.00
_cell_angle_beta 90.00
_cell_angle_gamma 90.00
_symmetry_space_group_name_H-M 'P 1'
_symmetry_Int_Tables_number 1
_symmetry_space_group_name_Hall 'P 1'
loop_
_atom_site_label
_atom_site_fract_x
_atom_site_fract_y
_atom_site_fract_z
Ni1 0.000 0.000 0.500
Ni2 0.000 0.500 0.000
Ni3 0.500 0.000 0.000
As1 0.000 0.000 0.000
Au1 0.500 0.500 0.500
```

Values from the calculation:
volume	80.4	Å³/f.u.
energy of formation from the pure elements	0.39	eV/atom
calculated total energy	-23.31	eV per formula unit
excess energy over the best structure of this formula in the dataset	0	meV per atom
magnetic moment	0.00	Bohr magnetons per cell


[3]
## Ni2AsAu4 (PBE)

Data for a geometry-optimized Ni2AsAu4 structure.

Structure (CIF):
```
data_Ni2AsAu4
_chemical_formula_sum 'Ni2 As1 Au4'
_cell_length_a 7.119
_cell_length_b 7.119
_cell_length_c 7.119
_cell_angle_alpha 139.99
_cell_angle_beta 139.99
_cell_angle_gamma 57.86
_symmetry_space_group_name_H-M 'P 1'
_symmetry_Int_Tables_number 1
_symmetry_space_group_name_Hall 'P 1'
loop_
_atom_site_label
_atom_site_fract_x
_atom_site_fract_y
_atom_site_fract_z
Ni1 0.095 0.095 0.000
Ni2 0.905 0.905 0.000
As1 0.500 0.500 0.000
Au1 0.000 0.500 0.500
Au2 0.294 0.294 0.000
Au3 0.500 0.000 0.500
Au4 0.706 0.706 0.000
```

Values from the calculation:
volume	147.8	Å³/f.u.
energy of formation from the pure elements	0.63	eV/atom
calculated total energy	-24.94	eV per formula unit
magnetic moment	1.03	Bohr magnetons per cell


[4]
## NiAs2Au (PBE)

Data for a geometry-optimized NiAs2Au structure.

Structure (CIF):
```
data_NiAs2Au
_chemical_formula_sum 'Ni2 As4 Au2'
_cell_length_a 6.579
_cell_length_b 6.579
_cell_length_c 6.579
_cell_angle_alpha 128.17
_cell_angle_beta 128.17
_cell_angle_gamma 76.35
_symmetry_space_group_name_H-M 'P 1'
_symmetry_Int_Tables_number 1
_symmetry_space_group_name_Hall 'P 1'
loop_
_atom_site_label
_atom_site_fract_x
_atom_site_fract_y
_atom_site_fract_z
Ni1 0.000 0.000 0.000
Ni2 0.750 0.250 0.500
As1 0.081 0.625 0.956
As2 0.375 0.331 0.456
As3 0.669 0.125 0.044
As4 0.875 0.919 0.544
Au1 0.250 0.750 0.500
Au2 0.500 0.500 0.000
```

Values from the calculation:
volume	85.5	Å³/f.u.
energy of formation from the pure elements	0.11	eV/atom
calculated total energy	-17.91	eV per formula unit
excess energy over the best structure of this formula in the dataset	84	meV per atom
magnetic moment	0.00	Bohr magnetons per cell


[5]
## NiAsAu2 (PBE)

Data for a geometry-optimized NiAsAu2 structure.

Structure (CIF):
```
data_NiAsAu2
_chemical_formula_sum 'Ni1 As1 Au2'
_cell_length_a 8.876
_cell_length_b 8.876
_cell_length_c 8.876
_cell_angle_alpha 19.38
_cell_angle_beta 19.38
_cell_angle_gamma 19.38
_symmetry_space_group_name_H-M 'P 1'
_symmetry_Int_Tables_number 1
_symmetry_space_group_name_Hall 'P 1'
loop_
_atom_site_label
_atom_site_fract_x
_atom_site_fract_y
_atom_site_fract_z
Ni1 0.000 0.000 0.000
As1 0.500 0.500 0.500
Au1 0.256 0.256 0.256
Au2 0.744 0.744 0.744
```

Values from the calculation:
volume	67.3	Å³/f.u.
energy of formation from the pure elements	0.25	eV/atom
calculated total energy	-15.97	eV per formula unit
magnetic moment	0.00	Bohr magnetons per cell


[6]
## NiAsAu (PBE)

Data for a geometry-optimized NiAsAu structure.

Structure (CIF):
```
data_NiAsAu
_chemical_formula_sum 'Ni1 As1 Au1'
_cell_length_a 2.916
_cell_length_b 4.422
_cell_length_c 3.951
_cell_angle_alpha 90.00
_cell_angle_beta 90.00
_cell_angle_gamma 90.00
_symmetry_space_group_name_H-M 'P 1'
_symmetry_Int_Tables_number 1
_symmetry_space_group_name_Hall 'P 1'
loop_
_atom_site_label
_atom_site_fract_x
_atom_site_fract_y
_atom_site_fract_z
Ni1 0.000 0.000 0.000
As1 0.500 0.000 0.471
Au1 0.500 0.500 0.848
```

Values from the calculation:
volume	50.9	Å³/f.u.
energy of formation from the pure elements	-0.01	eV/atom
calculated total energy	-13.73	eV per formula unit
excess energy over the best structure of this formula in the dataset	75	meV per atom
magnetic moment	0.00	Bohr magnetons per cell


[7]
## NiAsAu2 (PBE)

Data for a geometry-optimized NiAsAu2 structure.

Structure (CIF):
```
data_NiAsAu2
_chemical_formula_sum 'Ni1 As1 Au2'
_cell_length_a 3.173
_cell_length_b 4.063
_cell_length_c 5.336
_cell_angle_alpha 90.00
_cell_angle_beta 106.57
_cell_angle_gamma 90.00
_symmetry_space_group_name_H-M 'P 1'
_symmetry_Int_Tables_number 1
_symmetry_space_group_name_Hall 'P 1'
loop_
_atom_site_label
_atom_site_fract_x
_atom_site_fract_y
_atom_site_fract_z
Ni1 0.000 0.000 0.000
As1 0.100 0.500 0.223
Au1 0.387 0.500 0.773
Au2 0.731 0.000 0.470
```

Values from the calculation:
volume	65.9	Å³/f.u.
energy of formation from the pure elements	0.11	eV/atom
calculated total energy	-16.55	eV per formula unit
magnetic moment	0.00	Bohr magnetons per cell


[8]
## NiAsAu (PBE)

Data for a geometry-optimized NiAsAu structure.

Structure (CIF):
```
data_NiAsAu
_chemical_formula_sum 'Ni1 As1 Au1'
_cell_length_a 2.963
_cell_length_b 2.963
_cell_length_c 5.650
_cell_angle_alpha 90.00
_cell_angle_beta 90.00
_cell_angle_gamma 90.00
_symmetry_space_group_name_H-M 'P 1'
_symmetry_Int_Tables_number 1
_symmetry_space_group_name_Hall 'P 1'
loop_
_atom_site_label
_atom_site_fract_x
_atom_site_fract_y
_atom_site_fract_z
Ni1 0.000 0.000 0.000
As1 0.500 0.500 0.214
Au1 0.500 0.500 0.672
```

Values from the calculation:
volume	49.6	Å³/f.u.
energy of formation from the pure elements	-0.08	eV/atom
calculated total energy	-13.96	eV per formula unit
excess energy over the best structure of this formula in the dataset	0	meV per atom
magnetic moment	0.00	Bohr magnetons per cell